Entry 1:
8
Lattice="4.2979 0.0000 0.0000 0.0000 4.2979 0.0000 0.0000 0.0000 6.1026" Properties=species:S:1:pos:R:3 comment="GGA-PBE Li4Al2ZnIr, relaxed" density_g_cm3=5.00 dft_energy_ev_per_atom=-3.506 magnetic_moment_mub_per_cell=0.000 pbc="T T T"
Zn 0.0000 0.0000 0.0000
Li 2.1489 2.1489 0.0000
Li 2.1489 0.0000 4.5763
Li 0.0000 0.0000 3.0513
Li 0.0000 2.1489 1.5263
Ir 2.1489 2.1489 3.0513
Al 0.0000 2.1489 4.4184
Al 2.1489 0.0000 1.6842



Entry 2:
4
Lattice="0.0000 3.1602 3.1602 3.1602 0.0000 3.1602 3.1602 3.1602 0.0000" Properties=species:S:1:pos:R:3 comment="GGA-PBE LiZrAlIr, relaxed" density_g_cm3=8.35 dft_energy_ev_per_atom=-6.484 magnetic_moment_mub_per_cell=0.058 pbc="T T T"
Li 0.0000 0.0000 0.0000
Zr 1.5801 1.5801 1.5801
Ir 3.1602 3.1602 3.1602
Al 4.7404 4.7404 4.7404



Entry 3:
4
Lattice="1.6950 1.1828 4.0883 -2.8382 1.0046 3.4527 -0.3859 -2.8634 3.5550" Properties=species:S:1:pos:R:3 comment="GGA-PBE LuAlIr2, relaxed" density_g_cm3=14.32 dft_energy_ev_per_atom=-6.773 magnetic_moment_mub_per_cell=0.050 pbc="T T T"
Ir 0.0000 0.0000 0.0000
Ir -1.1469 -0.5070 8.3219
Lu -0.3823 -0.1690 2.7740
Al -0.7646 -0.3380 5.5479



Entry 4:
4
Lattice="-4.4986 0.3160 0.8389 -2.3537 3.6573 -1.4580 -3.0094 -0.4295 -3.4351" Properties=species:S:1:pos:R:3 comment="GGA-PBE LuAl2Ir, relaxed" density_g_cm3=10.25 dft_energy_ev_per_atom=-5.768 magnetic_moment_mub_per_cell=0.000 pbc="T T T"
Al 0.0000 0.0000 0.0000
Al -2.4654 0.8859 -1.0135
Lu -4.9308 1.7719 -2.0271
Ir -7.3963 2.6578 -3.0406



Entry 5:
4
Lattice="1.2893 0.1933 4.5728 -2.5857 2.5192 3.0948 -2.5976 -2.2314 3.2990" Properties=species:S:1:pos:R:3 comment="GGA-PBE Lu2AlIr, relaxed" density_g_cm3=12.43 dft_energy_ev_per_atom=-5.935 magnetic_moment_mub_per_cell=0.000 pbc="T T T"
Al -1.9470 0.2406 5.4833
Lu 0.0000 0.0000 0.0000
Lu -2.9205 0.3609 8.2249
Ir -0.9735 0.1203 2.7416



Entry 6:
4
Lattice="3.8833 -1.8483 -1.2891 0.4480 -4.4669 -0.0644 0.2595 -2.1738 -3.9199" Properties=species:S:1:pos:R:3 comment="GGA-PBE LuAlNiIr, relaxed" density_g_cm3=11.75 dft_energy_ev_per_atom=-5.896 magnetic_moment_mub_per_cell=0.003 pbc="T T T"
Al 0.0000 0.0000 0.0000
Ir 2.2954 -4.2445 -2.6367
Ni 3.4431 -6.3668 -3.9551
Lu 1.1477 -2.1223 -1.3184